Record 1
CuSn2Ru2 | PBE | relaxed

Cell lengths 7.307, 7.307, 3.281 Å; angles 90.00, 90.00, 90.00 degrees
Element x y z (fractional)
Cu1 0.000 0.000 0.000
Cu2 0.500 0.500 0.000
Sn1 0.158 0.342 0.500
Sn2 0.342 0.842 0.500
Sn3 0.658 0.158 0.500
Sn4 0.842 0.658 0.500
Ru1 0.142 0.642 0.000
Ru2 0.358 0.142 0.000
Ru3 0.642 0.858 0.000
Ru4 0.858 0.358 0.000

- Total magnetization: 0.00 Bohr magnetons per cell
- Symmetry: P4/mbm (127)
- Final energy: -6.08 eV per atom
- Energy of formation: 0.0544 eV/atom



Record 2
CuSnRu3 | PBE | relaxed

Cell lengths 4.485, 4.485, 4.485 Å; angles 90.00, 90.00, 90.00 degrees
Element x y z (fractional)
Cu1 0.000 0.000 0.000
Sn1 0.500 0.500 0.500
Ru1 0.000 0.000 0.500
Ru2 0.000 0.500 0.000
Ru3 0.500 0.000 0.000

- Total magnetization: 3.48 Bohr magnetons per cell
- Symmetry: Pm-3m (221)
- ΔE to the lowest computed polymorph: 0.0000 eV per atom
- Final energy: -5.88 eV per atom
- Energy of formation: 1.3060 eV/atom